## a
# PBE Hf2AgHg2, optimized geometry
data_Hf2AgHg2
_space_group_name_H-M_alt 'P 1'
_space_group_IT_number 1
_space_group_name_Hall 'P 1'
_cell_length_a 7.250
_cell_length_b 7.250
_cell_length_c 4.055
_cell_angle_alpha 90.00
_cell_angle_beta 90.00
_cell_angle_gamma 90.00
loop_
_atom_site_label
_atom_site_type_symbol
_atom_site_fract_x
_atom_site_fract_y
_atom_site_fract_z
Ag1 Ag 0.500 0.500 0.000
Ag2 Ag 0.000 0.000 0.000
Hf1 Hf 0.836 0.336 0.500
Hf2 Hf 0.336 0.164 0.500
Hf3 Hf 0.164 0.664 0.500
Hf4 Hf 0.664 0.836 0.500
Hg1 Hg 0.860 0.640 0.000
Hg2 Hg 0.640 0.140 0.000
Hg3 Hg 0.360 0.860 0.000
Hg4 Hg 0.140 0.360 0.000
# **Space group**: No. 127
# **Calculated volume**: 106.6 Å³/f.u.
# **Total magnetic moment**: 0.0 μB per cell


## b
# PBE Hf2AgHg2, optimized geometry
data_Hf2AgHg2
_space_group_name_H-M_alt 'P 1'
_space_group_IT_number 1
_space_group_name_Hall 'P 1'
_cell_length_a 8.639
_cell_length_b 8.639
_cell_length_c 3.010
_cell_angle_alpha 90.00
_cell_angle_beta 90.00
_cell_angle_gamma 90.00
loop_
_atom_site_label
_atom_site_type_symbol
_atom_site_fract_x
_atom_site_fract_y
_atom_site_fract_z
Ag1 Ag 0.000 0.000 0.000
Ag2 Ag 0.500 0.500 0.000
Hg1 Hg 0.328 0.172 0.500
Hg2 Hg 0.672 0.828 0.500
Hg3 Hg 0.172 0.672 0.500
Hg4 Hg 0.828 0.328 0.500
Hf1 Hf 0.625 0.125 0.000
Hf2 Hf 0.875 0.625 0.000
Hf3 Hf 0.125 0.375 0.000
Hf4 Hf 0.375 0.875 0.000
# **Space group**: No. 127
# **Calculated volume**: 112.3 Å³/f.u.
# **Total magnetic moment**: 0.0 μB per cell


## c
# PBE Hf2AgHg2, optimized geometry
data_Hf2AgHg2
_space_group_name_H-M_alt 'P 1'
_space_group_IT_number 1
_space_group_name_Hall 'P 1'
_cell_length_a 3.168
_cell_length_b 3.168
_cell_length_c 10.684
_cell_angle_alpha 98.52
_cell_angle_beta 98.52
_cell_angle_gamma 90.00
loop_
_atom_site_label
_atom_site_type_symbol
_atom_site_fract_x
_atom_site_fract_y
_atom_site_fract_z
Ag1 Ag 0.000 0.000 0.000
Hf1 Hf 0.801 0.801 0.602
Hf2 Hf 0.199 0.199 0.398
Hg1 Hg 0.404 0.404 0.808
Hg2 Hg 0.596 0.596 0.192
# **Space group**: No. 139
# **Calculated volume**: 104.8 Å³/f.u.
# **Total magnetic moment**: 0.0 μB per cell


It turns out c is the most stable, with the second structure 17.1 kJ/mol of atoms higher.


## a
# PBE HfTc2AgHg, optimized geometry
data_HfTc2AgHg
_space_group_name_H-M_alt 'P 1'
_space_group_IT_number 1
_space_group_name_Hall 'P 1'
_cell_length_a 4.973
_cell_length_b 5.111
_cell_length_c 4.973
_cell_angle_alpha 90.00
_cell_angle_beta 90.00
_cell_angle_gamma 90.00
loop_
_atom_site_label
_atom_site_type_symbol
_atom_site_fract_x
_atom_site_fract_y
_atom_site_fract_z
Ag1 Ag 0.500 0.500 0.500
Hf1 Hf 0.000 0.500 0.000
Hg1 Hg 0.000 0.000 0.000
Tc1 Tc 0.000 0.000 0.500
Tc2 Tc 0.500 0.000 0.000
# **Space group**: No. 123
# **Calculated volume**: 126.4 Å³/f.u.
# **Total magnetic moment**: 3.0 μB per cell


## b
# PBE HfTc2AgHg, optimized geometry
data_HfTc2AgHg
_space_group_name_H-M_alt 'P 1'
_space_group_IT_number 1
_space_group_name_Hall 'P 1'
_cell_length_a 4.814
_cell_length_b 5.189
_cell_length_c 4.814
_cell_angle_alpha 90.00
_cell_angle_beta 90.00
_cell_angle_gamma 90.00
loop_
_atom_site_label
_atom_site_type_symbol
_atom_site_fract_x
_atom_site_fract_y
_atom_site_fract_z
Tc1 Tc 0.000 0.000 0.500
Tc2 Tc 0.500 0.000 0.000
Hg1 Hg 0.500 0.500 0.500
Hf1 Hf 0.000 0.000 0.000
Ag1 Ag 0.000 0.500 0.000
# **Space group**: No. 123
# **Calculated volume**: 120.3 Å³/f.u.
# **Total magnetic moment**: 3.1 μB per cell


It turns out b is the most stable, with the second structure 54.3 kJ/mol of atoms higher.


## a
# PBE HfAgI2, optimized geometry
data_HfAgI2
_space_group_name_H-M_alt 'P 1'
_space_group_IT_number 1
_space_group_name_Hall 'P 1'
_cell_length_a 5.186
_cell_length_b 5.186
_cell_length_c 5.186
_cell_angle_alpha 60.00
_cell_angle_beta 60.00
_cell_angle_gamma 60.00
loop_
_atom_site_label
_atom_site_type_symbol
_atom_site_fract_x
_atom_site_fract_y
_atom_site_fract_z
Hf1 Hf 0.500 0.500 0.500
I1 I 0.750 0.750 0.750
I2 I 0.250 0.250 0.250
Ag1 Ag 0.000 0.000 0.000
# **Space group**: No. 225
# **Calculated volume**: 98.6 Å³/f.u.
# **Total magnetic moment**: 1.0 μB per cell


## b
# PBE HfAgI2, optimized geometry
data_HfAgI2
_space_group_name_H-M_alt 'P 1'
_space_group_IT_number 1
_space_group_name_Hall 'P 1'
_cell_length_a 10.413
_cell_length_b 10.413
_cell_length_c 7.874
_cell_angle_alpha 48.61
_cell_angle_beta 48.61
_cell_angle_gamma 90.00
loop_
_atom_site_label
_atom_site_type_symbol
_atom_site_fract_x
_atom_site_fract_y
_atom_site_fract_z
I1 I 0.875 0.032 0.750
I2 I 0.968 0.625 0.250
I3 I 0.782 0.125 0.250
I4 I 0.375 0.218 0.750
Hf1 Hf 0.000 0.000 0.000
Hf2 Hf 0.750 0.250 0.500
Ag1 Ag 0.500 0.500 0.000
Ag2 Ag 0.250 0.750 0.500
# **Space group**: No. 122
# **Calculated volume**: 151.3 Å³/f.u.
# **Total magnetic moment**: 1.4 μB per cell


It turns out b is the most stable, with the second structure 20.6 kJ/mol of atoms higher.


## a
# PBE HfAg3I, optimized geometry
data_HfAg3I
_space_group_name_H-M_alt 'P 1'
_space_group_IT_number 1
_space_group_name_Hall 'P 1'
_cell_length_a 5.290
_cell_length_b 5.290
_cell_length_c 5.290
_cell_angle_alpha 90.00
_cell_angle_beta 90.00
_cell_angle_gamma 90.00
loop_
_atom_site_label
_atom_site_type_symbol
_atom_site_fract_x
_atom_site_fract_y
_atom_site_fract_z
Ag1 Ag 0.000 0.000 0.500
Ag2 Ag 0.500 0.000 0.000
Ag3 Ag 0.000 0.500 0.000
Hf1 Hf 0.500 0.500 0.500
I1 I 0.000 0.000 0.000
# **Space group**: No. 221
# **Calculated volume**: 148.0 Å³/f.u.
# **Total magnetic moment**: 0.9 μB per cell


## b
# PBE HfAg3I, optimized geometry
data_HfAg3I
_space_group_name_H-M_alt 'P 1'
_space_group_IT_number 1
_space_group_name_Hall 'P 1'
_cell_length_a 5.393
_cell_length_b 5.393
_cell_length_c 5.393
_cell_angle_alpha 90.00
_cell_angle_beta 90.00
_cell_angle_gamma 90.00
loop_
_atom_site_label
_atom_site_type_symbol
_atom_site_fract_x
_atom_site_fract_y
_atom_site_fract_z
Hf1 Hf 0.000 0.000 0.000
Ag1 Ag 0.500 0.000 0.000
Ag2 Ag 0.000 0.500 0.000
Ag3 Ag 0.000 0.000 0.500
I1 I 0.500 0.500 0.500
# **Space group**: No. 221
# **Calculated volume**: 156.9 Å³/f.u.
# **Total magnetic moment**: 0.0 μB per cell


It turns out b is the most stable, with the second structure 30.6 kJ/mol of atoms higher.


## a
# PBE HfNiAgI2, optimized geometry
data_HfNiAgI2
_space_group_name_H-M_alt 'P 1'
_space_group_IT_number 1
_space_group_name_Hall 'P 1'
_cell_length_a 5.227
_cell_length_b 4.834
_cell_length_c 5.227
_cell_angle_alpha 90.00
_cell_angle_beta 90.00
_cell_angle_gamma 90.00
loop_
_atom_site_label
_atom_site_type_symbol
_atom_site_fract_x
_atom_site_fract_y
_atom_site_fract_z
Ag1 Ag 0.500 0.500 0.500
I1 I 0.000 0.000 0.500
I2 I 0.500 0.000 0.000
Ni1 Ni 0.000 0.000 0.000
Hf1 Hf 0.000 0.500 0.000
# **Space group**: No. 123
# **Calculated volume**: 132.1 Å³/f.u.
# **Total magnetic moment**: 0.0 μB per cell


## b
# PBE HfNiAgI2, optimized geometry
data_HfNiAgI2
_space_group_name_H-M_alt 'P 1'
_space_group_IT_number 1
_space_group_name_Hall 'P 1'
_cell_length_a 5.463
_cell_length_b 5.386
_cell_length_c 5.463
_cell_angle_alpha 90.00
_cell_angle_beta 90.00
_cell_angle_gamma 90.00
loop_
_atom_site_label
_atom_site_type_symbol
_atom_site_fract_x
_atom_site_fract_y
_atom_site_fract_z
Ni1 Ni 0.500 0.500 0.500
I1 I 0.500 0.000 0.000
I2 I 0.000 0.000 0.500
Hf1 Hf 0.000 0.500 0.000
Ag1 Ag 0.000 0.000 0.000
# **Space group**: No. 123
# **Calculated volume**: 160.7 Å³/f.u.
# **Total magnetic moment**: 0.0 μB per cell


It turns out a is the most stable, with the second structure 73.2 kJ/mol of atoms higher.


## a
# PBE HfAgI2O, optimized geometry
data_HfAgI2O
_space_group_name_H-M_alt 'P 1'
_space_group_IT_number 1
_space_group_name_Hall 'P 1'
_cell_length_a 5.830
_cell_length_b 5.830
_cell_length_c 3.968
_cell_angle_alpha 90.00
_cell_angle_beta 90.00
_cell_angle_gamma 90.00
loop_
_atom_site_label
_atom_site_type_symbol
_atom_site_fract_x
_atom_site_fract_y
_atom_site_fract_z
Ag1 Ag 0.500 0.500 0.500
Hf1 Hf 0.000 0.000 0.000
I1 I 0.000 0.500 0.000
I2 I 0.500 0.000 0.000
O1 O 0.000 0.000 0.500
# **Space group**: No. 123
# **Calculated volume**: 134.9 Å³/f.u.
# **Total magnetic moment**: 0.4 μB per cell


## b
# PBE HfAgI2O, optimized geometry
data_HfAgI2O
_space_group_name_H-M_alt 'P 1'
_space_group_IT_number 1
_space_group_name_Hall 'P 1'
_cell_length_a 5.691
_cell_length_b 5.691
_cell_length_c 3.905
_cell_angle_alpha 90.00
_cell_angle_beta 90.00
_cell_angle_gamma 90.00
loop_
_atom_site_label
_atom_site_type_symbol
_atom_site_fract_x
_atom_site_fract_y
_atom_site_fract_z
I1 I 0.500 0.000 0.000
I2 I 0.000 0.500 0.000
O1 O 0.000 0.000 0.500
Hf1 Hf 0.500 0.500 0.500
Ag1 Ag 0.000 0.000 0.000
# **Space group**: No. 123
# **Calculated volume**: 126.5 Å³/f.u.
# **Total magnetic moment**: 0.0 μB per cell


It turns out a is the most stable, with the second structure 135.1 kJ/mol of atoms higher.